# CuOsPt2

Crystalline CuOsPt2 at its relaxed geometry (GGA-PBE, Alexandria via LeMat-Bulk).

Structure (POSCAR):
```
CuOsPt2
1.0
-1.100 -2.437 0.441
1.197 0.529 -2.373
8.124 -3.049 3.417
Pt Os Cu
2 1 1
Cartesian
2.190 -1.758 -0.065
8.080 -3.032 3.399
6.053 -3.208 1.559
4.084 -1.533 1.718
```

Calculated values
- DOS at the Fermi energy (states/eV/cell) = 3.89
- energy of formation from the pure elements (meV per atom) = 217
- spin magnetization (μB/atom) = 0.000
- excess energy over the best structure of this formula in the dataset (meV per atom) = 208


# Cu2OsPt

Crystalline Cu2OsPt at its relaxed geometry (GGA-PBE, Alexandria via LeMat-Bulk).

Structure (POSCAR):
```
Cu2OsPt
1.0
2.662 0.000 0.000
0.000 4.660 0.000
0.000 0.000 4.512
Pt Cu Os
1 2 1
Cartesian
0.000 2.330 2.256
0.000 0.000 0.000
1.331 2.330 0.000
1.331 0.000 2.256
```

Calculated values
- DOS at the Fermi energy (states/eV/cell) = 3.75
- energy of formation from the pure elements (meV per atom) = 241
- spin magnetization (μB/atom) = 0.000
- excess energy over the best structure of this formula in the dataset (meV per atom) = 174


# Cu2OsPt

Crystalline Cu2OsPt at its relaxed geometry (GGA-PBE, Alexandria via LeMat-Bulk).

Structure (POSCAR):
```
Cu2OsPt
1.0
-1.748 -3.351 -3.513
3.127 -1.459 -3.836
-1.026 0.203 5.053
Os Pt Cu
1 1 2
Cartesian
0.695 -2.425 -3.706
1.390 -1.813 -1.201
1.367 -4.771 -7.289
-1.032 -2.814 -1.124
```

Calculated values
- DOS at the Fermi energy (states/eV/cell) = 5.40
- energy of formation from the pure elements (meV per atom) = 276
- spin magnetization (μB/atom) = 0.000
- excess energy over the best structure of this formula in the dataset (meV per atom) = 209


# CuOsPt2

Crystalline CuOsPt2 at its relaxed geometry (GGA-PBE, Alexandria via LeMat-Bulk).

Structure (POSCAR):
```
CuOsPt2
1.0
-1.226 -3.783 -2.553
1.379 -4.128 -1.841
-1.355 -2.895 3.557
Pt Os Cu
2 1 1
Cartesian
-0.329 -2.739 -0.125
-1.322 -2.867 3.448
-0.918 -8.152 -0.591
-0.590 -5.346 -0.433
```

Calculated values
- DOS at the Fermi energy (states/eV/cell) = 4.38
- energy of formation from the pure elements (meV per atom) = 56
- spin magnetization (μB/atom) = 0.000
- excess energy over the best structure of this formula in the dataset (meV per atom) = 48


# Cu4OsPt

Crystalline Cu4OsPt at its relaxed geometry (GGA-PBE, Alexandria via LeMat-Bulk).

Structure (POSCAR):
```
Cu4OsPt
1.0
-0.181 -1.694 4.460
-1.742 2.718 3.517
-4.212 -1.067 1.979
Cu Pt Os
4 1 1
Cartesian
-2.393 -0.861 5.961
-4.403 -0.548 4.723
-2.302 -0.016 3.736
-3.172 1.340 5.491
0.000 0.000 0.000
-4.601 -0.032 7.467
```

Calculated values
- DOS at the Fermi energy (states/eV/cell) = 4.24
- energy of formation from the pure elements (meV per atom) = 270
- spin magnetization (μB/atom) = 0.268


# Cu2OsPt

Crystalline Cu2OsPt at its relaxed geometry (GGA-PBE, Alexandria via LeMat-Bulk).

Structure (POSCAR):
```
Cu2OsPt
1.0
-3.494 -1.357 1.009
-0.146 -1.337 -2.305
2.149 -5.523 0.014
Os Cu Pt
1 2 1
Cartesian
1.008 -3.441 -1.136
-1.265 -2.356 -0.083
-0.115 -1.395 -2.276
-0.263 -5.793 -1.237
```

Calculated values
- DOS at the Fermi energy (states/eV/cell) = 3.41
- energy of formation from the pure elements (meV per atom) = 186
- spin magnetization (μB/atom) = 0.000
- excess energy over the best structure of this formula in the dataset (meV per atom) = 119


# Cu2OsPt

Crystalline Cu2OsPt at its relaxed geometry (GGA-PBE, Alexandria via LeMat-Bulk).

Structure (POSCAR):
```
Cu2OsPt
1.0
4.623 -0.005 0.000
1.500 4.373 0.000
-3.062 -2.184 2.689
Cu Pt Os
2 1 1
Cartesian
0.000 0.000 0.000
0.750 2.186 1.344
2.312 -0.003 1.344
3.062 2.184 0.000
```

Calculated values
- DOS at the Fermi energy (states/eV/cell) = 3.59
- energy of formation from the pure elements (meV per atom) = 259
- spin magnetization (μB/atom) = 0.000
- excess energy over the best structure of this formula in the dataset (meV per atom) = 191


# Cu2OsPt

Crystalline Cu2OsPt at its relaxed geometry (GGA-PBE, Alexandria via LeMat-Bulk).

Structure (POSCAR):
```
Cu2OsPt
1.0
0.000 3.003 3.003
3.003 0.000 3.003
3.003 3.003 0.000
Cu Os Pt
2 1 1
Cartesian
1.501 1.501 1.501
4.504 4.504 4.504
0.000 0.000 0.000
3.003 3.003 3.003
```

Calculated values
- DOS at the Fermi energy (states/eV/cell) = 2.79
- energy of formation from the pure elements (meV per atom) = 356
- spin magnetization (μB/atom) = 0.519
- excess energy over the best structure of this formula in the dataset (meV per atom) = 288